No. 1
# Pm7Pt4O

Crystalline Pm7Pt4O at its relaxed geometry (PBE, Alexandria).

Results
The energy is -6.3819 eV/atom.

a b c (Å): 4.902 8.686 8.040
angles (deg): 80.80 72.25 73.61
Sites, in units of the cell vectors:
Pm 0.785 0.852 0.578
Pm 0.215 0.148 0.422
Pm 0.064 0.740 0.132
Pm 0.936 0.260 0.868
Pm 0.363 0.556 0.718
Pm 0.500 0.000 0.000
Pm 0.637 0.444 0.282
Pt 0.580 0.210 0.630
Pt 0.420 0.790 0.370
Pt 0.724 0.638 0.914
Pt 0.276 0.362 0.086
O 0.000 0.000 0.000

***

No. 2
# PmPt3O8

Crystalline PmPt3O8 at its relaxed geometry (PBE, Alexandria).

Results
The energy is -6.2615 eV/atom.

a b c (Å): 6.287 6.287 10.228
angles (deg): 90.00 90.00 120.00
Sites, in units of the cell vectors:
Pm 0.667 0.333 0.997
Pm 0.333 0.667 0.497
Pt 0.833 0.666 0.714
Pt 0.334 0.167 0.714
Pt 0.833 0.167 0.714
Pt 0.167 0.833 0.214
Pt 0.666 0.833 0.214
Pt 0.167 0.334 0.214
O 0.848 0.697 0.112
O 0.519 0.481 0.818
O 0.667 0.333 0.618
O 0.000 0.000 0.809
O 0.000 0.000 0.309
O 0.303 0.152 0.112
O 0.962 0.481 0.818
O 0.519 0.038 0.818
O 0.152 0.848 0.612
O 0.848 0.152 0.112
O 0.481 0.962 0.318
O 0.038 0.519 0.318
O 0.333 0.667 0.118
O 0.697 0.848 0.612
O 0.481 0.519 0.318
O 0.152 0.303 0.612

***

No. 3
# PmPtO4

Crystalline PmPtO4 at its relaxed geometry (PBE, Alexandria).

Results
The energy is -6.6996 eV/atom.

a b c (Å): 5.396 5.289 5.432
angles (deg): 96.28 90.00 90.00
Sites, in units of the cell vectors:
Pm 0.000 0.500 0.500
Pm 0.500 0.000 0.500
Pt 0.500 0.500 0.000
Pt 0.000 0.000 0.000
O 0.208 0.728 0.155
O 0.292 0.228 0.155
O 0.639 0.599 0.324
O 0.139 0.901 0.676
O 0.861 0.099 0.324
O 0.361 0.401 0.676
O 0.708 0.772 0.845
O 0.792 0.272 0.845

***

No. 4
# Pm12Pt5O2

Crystalline Pm12Pt5O2 at its relaxed geometry (PBE, Alexandria).

Results
The energy is -6.2633 eV/atom.

a b c (Å): 7.341 8.928 8.952
angles (deg): 104.19 90.00 114.28
Sites, in units of the cell vectors:
Pm 0.994 0.988 0.180
Pm 0.083 0.670 0.907
Pm 0.587 0.670 0.907
Pm 0.101 0.708 0.435
Pm 0.606 0.708 0.435
Pm 0.500 0.999 0.798
Pm 0.500 0.001 0.202
Pm 0.899 0.292 0.565
Pm 0.394 0.292 0.565
Pm 0.917 0.330 0.093
Pm 0.413 0.330 0.093
Pm 0.006 0.012 0.820
Pt 0.302 0.603 0.647
Pt 0.317 0.634 0.160
Pt 0.000 0.000 0.500
Pt 0.683 0.366 0.840
Pt 0.698 0.397 0.353
O 0.731 0.000 0.000
O 0.269 0.000 0.000

***

No. 5
# Pm5Pt2O12

Crystalline Pm5Pt2O12 at its relaxed geometry (PBE, Alexandria).

Results
The energy is -7.4955 eV/atom.

a b c (Å): 6.113 7.085 7.471
angles (deg): 105.38 90.00 115.56
Sites, in units of the cell vectors:
Pm 0.301 0.601 0.640
Pm 0.304 0.609 0.164
Pm 0.000 0.000 0.500
Pm 0.696 0.391 0.836
Pm 0.699 0.399 0.360
Pt 0.752 0.000 0.000
Pt 0.248 0.000 0.000
O 0.000 0.000 0.176
O 0.099 0.670 0.917
O 0.572 0.670 0.917
O 0.096 0.696 0.426
O 0.599 0.696 0.426
O 0.500 0.000 0.821
O 0.500 0.000 0.179
O 0.904 0.304 0.574
O 0.401 0.304 0.574
O 0.901 0.330 0.083
O 0.428 0.330 0.083
O 0.000 0.000 0.824

***

No. 6
# Rb4Pm3PtO8

Crystalline Rb4Pm3PtO8 at its relaxed geometry (PBE, Alexandria).

Results
The energy is -6.0476 eV/atom.

a b c (Å): 6.984 7.648 7.248
angles (deg): 116.14 118.80 90.00
Sites, in units of the cell vectors:
Rb 0.500 0.000 0.000
Rb 0.500 0.000 0.500
Rb 0.000 0.000 0.000
Rb 0.000 0.000 0.500
Pm 0.500 0.500 0.000
Pm 0.500 0.500 0.500
Pm 0.000 0.500 0.500
Pt 0.000 0.500 0.000
O 0.197 0.663 0.947
O 0.269 0.718 0.538
O 0.282 0.321 0.564
O 0.749 0.663 0.947
O 0.251 0.337 0.053
O 0.718 0.679 0.436
O 0.731 0.282 0.462
O 0.803 0.337 0.053